Entry 1:
# BeCu2Ge2 PBE-GGA optimized geometry
data_BeCu2Ge2
_chemical_formula_sum 'Be2 Cu4 Ge4'
_cell_length_a 6.120
_cell_length_b 6.120
_cell_length_c 3.830
_cell_angle_alpha 90.00
_cell_angle_beta 90.00
_cell_angle_gamma 90.00
_symmetry_space_group_name_H-M 'P 4/m b m'
_symmetry_Int_Tables_number 127
_symmetry_space_group_name_Hall '-P 4 2ab'
loop_
_atom_site_label
_atom_site_type_symbol
_atom_site_fract_x
_atom_site_fract_y
_atom_site_fract_z
_atom_site_occupancy
Be1 Be 0.000 0.000 0.000 1
Cu1 Cu 0.149 0.351 0.000 1
Ge1 Ge 0.166 0.666 0.500 1
# Density = 6.5 g/cm³
# Energy relative to the elements = 299 meV/atom
# VASP energy = -39.3 eV per cell
# Energy above the most stable polymorph in this dataset = 0.00 eV per formula unit
# Total moment = 0.00 μB/cell



Entry 2:
# BeCu3Ge PBE-GGA optimized geometry
data_BeCu3Ge
_chemical_formula_sum 'Be1 Cu3 Ge1'
_cell_length_a 4.110
_cell_length_b 4.110
_cell_length_c 4.110
_cell_angle_alpha 90.00
_cell_angle_beta 90.00
_cell_angle_gamma 90.00
_symmetry_space_group_name_H-M 'P m -3 m'
_symmetry_Int_Tables_number 221
_symmetry_space_group_name_Hall '-P 4 2 3'
loop_
_atom_site_label
_atom_site_type_symbol
_atom_site_fract_x
_atom_site_fract_y
_atom_site_fract_z
_atom_site_occupancy
Be1 Be 0.000 0.000 0.000 1
Cu1 Cu 0.000 0.000 0.500 1
Ge1 Ge 0.500 0.500 0.500 1
# Density = 6.5 g/cm³
# Energy relative to the elements = 444 meV/atom
# VASP energy = -18.4 eV per cell
# Energy above the most stable polymorph in this dataset = 0.00 eV per formula unit
# Total moment = 0.00 μB/cell



Entry 3:
# Be2CuGe PBE-GGA optimized geometry
data_Be2CuGe
_chemical_formula_sum 'Be8 Cu4 Ge4'
_cell_length_a 6.635
_cell_length_b 6.635
_cell_length_c 4.690
_cell_angle_alpha 90.00
_cell_angle_beta 90.00
_cell_angle_gamma 90.00
_symmetry_space_group_name_H-M 'I -4 2 d'
_symmetry_Int_Tables_number 122
_symmetry_space_group_name_Hall 'I -4 2bw'
loop_
_atom_site_label
_atom_site_type_symbol
_atom_site_fract_x
_atom_site_fract_y
_atom_site_fract_z
_atom_site_occupancy
Be1 Be 0.236 0.750 0.125 1
Cu1 Cu 0.000 0.000 0.000 1
Ge1 Ge 0.000 0.000 0.500 1
# Density = 5.0 g/cm³
# Energy relative to the elements = 547 meV/atom
# VASP energy = -55.9 eV per cell
# Total moment = 0.00 μB/cell



Entry 4:
# BeCu2Ge PBE-GGA optimized geometry
data_BeCu2Ge
_chemical_formula_sum 'Be1 Cu2 Ge1'
_cell_length_a 3.641
_cell_length_b 3.641
_cell_length_c 3.661
_cell_angle_alpha 90.00
_cell_angle_beta 90.00
_cell_angle_gamma 90.00
_symmetry_space_group_name_H-M 'P 4/m m m'
_symmetry_Int_Tables_number 123
_symmetry_space_group_name_Hall '-P 4 2'
loop_
_atom_site_label
_atom_site_type_symbol
_atom_site_fract_x
_atom_site_fract_y
_atom_site_fract_z
_atom_site_occupancy
Be1 Be 0.000 0.000 0.000 1
Cu1 Cu 0.000 0.500 0.500 1
Ge1 Ge 0.500 0.500 0.000 1
# Density = 7.1 g/cm³
# Energy relative to the elements = 87 meV/atom
# VASP energy = -16.2 eV per cell
# Total moment = 0.00 μB/cell



Entry 5:
# BeCu2Ge PBE-GGA optimized geometry
data_BeCu2Ge
_chemical_formula_sum 'Be3 Cu6 Ge3'
_cell_length_a 3.8776
_cell_length_b 3.8776
_cell_length_c 11.9239
_cell_angle_alpha 90.00
_cell_angle_beta 90.00
_cell_angle_gamma 120.00
_symmetry_space_group_name_H-M 'R 3 m'
_symmetry_Int_Tables_number 160
_symmetry_space_group_name_Hall 'R 3 -2"'
loop_
_atom_site_label
_atom_site_type_symbol
_atom_site_fract_x
_atom_site_fract_y
_atom_site_fract_z
_atom_site_occupancy
Be1 Be 0.0000 0.0000 0.0000 1
Cu1 Cu 0.0000 0.0000 0.3765 1
Cu2 Cu 0.0000 0.0000 0.5909 1
Ge1 Ge 0.0000 0.0000 0.8013 1
# Density = 6.7 g/cm³
# Energy relative to the elements = 98 meV/atom
# VASP energy = -48.4 eV per cell
# Total moment = 0.00 μB/cell



Entry 6:
# BeCu2Ge PBE-GGA optimized geometry
data_BeCu2Ge
_chemical_formula_sum 'Be1 Cu2 Ge1'
_cell_length_a 2.958
_cell_length_b 2.958
_cell_length_c 5.635
_cell_angle_alpha 90.00
_cell_angle_beta 90.00
_cell_angle_gamma 90.00
_symmetry_space_group_name_H-M 'P 4/m m m'
_symmetry_Int_Tables_number 123
_symmetry_space_group_name_Hall '-P 4 2'
loop_
_atom_site_label
_atom_site_type_symbol
_atom_site_fract_x
_atom_site_fract_y
_atom_site_fract_z
_atom_site_occupancy
Be1 Be 0.000 0.000 0.000 1
Cu1 Cu 0.500 0.500 0.216 1
Ge1 Ge 0.000 0.000 0.500 1
# Density = 7.0 g/cm³
# Energy relative to the elements = 109 meV/atom
# VASP energy = -16.1 eV per cell
# Total moment = 0.00 μB/cell